Entry 1:
Compound: Ta3Mn5
Source: Alexandria via LeMat-Bulk
Functional: PBE
Structure: relaxed

Lattice parameters (Å, degrees): 7.3398 7.3428 4.9339 90.00 90.00 60.00
Closest atoms and distances in Å follow each position.
Sites, in units of the cell vectors:
Mn1 0.0000 0.2226 0.7500  4 Ta 2.47-2.75
Mn2 0.2225 0.7776 0.7500  4 Ta 2.47-2.75
Mn3 0.3334 0.3333 0.5000  2 Mn 2.47, 6 Ta 2.59
Mn4 0.7776 0.0001 0.7500  4 Ta 2.47-2.75
Mn5 0.6666 0.6667 0.0000  2 Mn 2.47, 6 Ta 2.59
Mn6 0.6666 0.6667 0.5000  2 Mn 2.47, 6 Ta 2.59
Mn7 0.7775 0.2224 0.2500  4 Ta 2.47-2.75
Mn8 0.3334 0.3333 0.0000  2 Mn 2.47, 6 Ta 2.59
Mn9 0.0000 0.7774 0.2500  4 Ta 2.47-2.75
Mn10 0.2224 0.0000 0.2500  4 Ta 2.47-2.75
Ta1 0.0000 0.6123 0.7500  8 Mn 2.47-2.75
Ta2 0.6123 0.0000 0.2500  8 Mn 2.47-2.75
Ta3 0.6123 0.3877 0.7500  8 Mn 2.47-2.75
Ta4 0.3877 0.0000 0.7500  8 Mn 2.47-2.75
Ta5 0.0000 0.3877 0.2500  8 Mn 2.47-2.75
Ta6 0.3877 0.6123 0.2500  8 Mn 2.47-2.75

Crystal system: hexagonal
E_tot: -9.8686 eV per atom
Spin magnetization: 3.6 μB per formula unit
Calculated volume: 14.4 Å³ per atom
Formation enthalpy at 0 K: 0.307 eV/atom
Symmetry: No. 193
Energy above the lowest structure with this stoichiometry: 9.69 kcal/mol of atoms

=====

Entry 2:
Compound: Ta4Mn3
Source: Alexandria via LeMat-Bulk
Functional: PBE
Structure: relaxed

Lattice parameters (Å, degrees): 4.8910 4.8910 5.1082 90.00 90.00 120.00
Closest atoms and distances in Å follow each position.
Sites, in units of the cell vectors:
Mn1 0.0000 0.5000 0.0000  4 Mn 2.45
Mn2 0.5000 0.5000 0.0000  4 Mn 2.45
Mn3 0.5000 0.0000 0.0000  4 Mn 2.45
Ta1 0.3333 0.6667 0.5000  9 Ta 2.82-3.10, 6 Mn 2.92
Ta2 0.0000 0.0000 0.2484  2 Ta 2.54-2.57, 6 Mn 2.76
Ta3 0.6667 0.3333 0.5000  9 Ta 2.82-3.10, 6 Mn 2.92
Ta4 0.0000 0.0000 0.7516  2 Ta 2.54-2.57, 6 Mn 2.76

Crystal system: hexagonal
E_tot: -10.8105 eV per atom
Spin magnetization: 1.4 μB per formula unit
Calculated volume: 15.1 Å³ per atom
Formation enthalpy at 0 K: -0.108 eV/atom
Symmetry: No. 191
Energy above the lowest structure with this stoichiometry: 0.00 kcal/mol of atoms